1.
Here is Hf2HO at its PBEsol-relaxed geometry from the Alexandria database. Energies are from SCAN.

Crystal system: cubic

Cell: 5.733 5.733 5.733 Å, 90.00 90.00 90.00°
Space group Fm-3m (No. 225)
Unique sites:
Hf (0.250, 0.250, 0.250) (multiplicity 8)
H (0.000, 0.000, 0.000) (multiplicity 4)
O (0.000, 0.000, 0.500) (multiplicity 4)

2.
Here is OsSeN2 at its PBEsol-relaxed geometry from the Alexandria database. Energies are from SCAN.

Raw formation energy (eV per atom): 1.2069
Crystal system: trigonal

Cell: 2.9345 2.9345 18.7027 Å, 90.00 90.00 120.00°
Space group R-3m (No. 166, hexagonal axes)
Unique sites:
Os (0.0000, 0.0000, 0.0000) (multiplicity 3)
Se (0.0000, 0.0000, 0.5000) (multiplicity 3)
N (0.0000, 0.0000, 0.1028) (multiplicity 6)

3.
Here is LaTlIn2 at its PBEsol-relaxed geometry from the Alexandria database. Energies are from SCAN.

Crystal system: monoclinic

Cell: 3.255 5.223 6.288 Å, 90.00 90.04 90.00°
Space group P2/m (No. 10)
Unique sites:
La (0.000, 0.000, 0.000) (multiplicity 1)
Tl (0.500, 0.000, 0.500) (multiplicity 1)
In (0.498, 0.500, 0.755) (multiplicity 2)

| no. | VASP energy (Ha/atom) |
| --- | --- |
| 1 | -1.2580 |
| 2 | -0.9712 |
| 3 | -1.6876 |